## A
VASP calculation (GGA-PBE) on an optimized crystal structure of NaCd12Hg6.

ρ	9.32	g/cm³

Lattice parameters (Å, degrees): 8.033 8.033 8.033 104.40 104.40 104.40
Element x y z (fractional)
Na (0.000, 0.000, 0.000)
Cd (0.018, 0.265, 0.748)
Cd (0.193, 0.565, 0.602)
Cd (0.252, 0.982, 0.735)
Cd (0.265, 0.748, 0.018)
Cd (0.398, 0.807, 0.435)
Cd (0.435, 0.398, 0.807)
Cd (0.565, 0.602, 0.193)
Cd (0.602, 0.193, 0.565)
Cd (0.735, 0.252, 0.982)
Cd (0.748, 0.018, 0.265)
Cd (0.807, 0.435, 0.398)
Cd (0.982, 0.735, 0.252)
Hg (0.152, 0.418, 0.178)
Hg (0.178, 0.152, 0.418)
Hg (0.418, 0.178, 0.152)
Hg (0.582, 0.822, 0.848)
Hg (0.822, 0.848, 0.582)
Hg (0.848, 0.582, 0.822)

## B
VASP calculation (GGA-PBE) on an optimized crystal structure of NaCd12Hg6.

ρ	9.20	g/cm³

Lattice parameters (Å, degrees): 7.768 7.768 7.768 94.20 94.20 94.20
Element x y z (fractional)
Na (0.000, 0.000, 0.000)
Cd (0.082, 0.392, 0.129)
Cd (0.129, 0.082, 0.392)
Cd (0.198, 0.506, 0.494)
Cd (0.392, 0.129, 0.082)
Cd (0.494, 0.198, 0.506)
Cd (0.494, 0.506, 0.802)
Cd (0.506, 0.494, 0.198)
Cd (0.506, 0.802, 0.494)
Cd (0.608, 0.871, 0.918)
Cd (0.802, 0.494, 0.506)
Cd (0.871, 0.918, 0.608)
Cd (0.918, 0.608, 0.871)
Hg (0.180, 0.248, 0.767)
Hg (0.233, 0.820, 0.752)
Hg (0.248, 0.767, 0.180)
Hg (0.752, 0.233, 0.820)
Hg (0.767, 0.180, 0.248)
Hg (0.820, 0.752, 0.233)

Tell me which of them is the most stable. Sure, it is A.

## A
VASP calculation (GGA-PBE) on an optimized crystal structure of Na5CdHg2.

ρ	4.20	g/cm³

Lattice parameters (Å, degrees): 5.400 5.400 19.672 90.00 90.00 120.00
Element x y z (fractional)
Na (0.000, 0.000, 0.153)
Na (0.000, 0.000, 0.347)
Na (0.000, 0.000, 0.653)
Na (0.000, 0.000, 0.847)
Na (0.333, 0.667, 0.054)
Na (0.333, 0.667, 0.250)
Na (0.333, 0.667, 0.446)
Na (0.667, 0.333, 0.554)
Na (0.667, 0.333, 0.750)
Na (0.667, 0.333, 0.946)
Cd (0.333, 0.667, 0.750)
Cd (0.667, 0.333, 0.250)
Hg (0.333, 0.667, 0.604)
Hg (0.333, 0.667, 0.896)
Hg (0.667, 0.333, 0.104)
Hg (0.667, 0.333, 0.396)

## B
VASP calculation (GGA-PBE) on an optimized crystal structure of Na5CdHg2.

ρ	4.81	g/cm³

Lattice parameters (Å, degrees): 6.689 13.433 4.830 90.00 90.00 90.00
Element x y z (fractional)
Na (0.000, 0.000, 0.000)
Na (0.009, 0.257, 0.000)
Na (0.236, 0.618, 0.500)
Na (0.264, 0.118, 0.500)
Na (0.491, 0.757, 0.000)
Na (0.500, 0.500, 0.000)
Na (0.509, 0.243, 0.000)
Na (0.736, 0.882, 0.500)
Na (0.764, 0.382, 0.500)
Na (0.991, 0.743, 0.000)
Cd (0.000, 0.500, 0.000)
Cd (0.500, 0.000, 0.000)
Hg (0.248, 0.876, 0.500)
Hg (0.252, 0.376, 0.500)
Hg (0.748, 0.624, 0.500)
Hg (0.752, 0.124, 0.500)

Tell me which of them is the most stable. Sure, it is B.

## A
VASP calculation (GGA-PBE) on an optimized crystal structure of NaCd6Hg.

ρ	7.92	g/cm³

Lattice parameters (Å, degrees): 4.437 4.437 9.561 90.00 90.00 90.00
Element x y z (fractional)
Na (0.000, 0.000, 0.000)
Cd (0.000, 0.500, 0.248)
Cd (0.000, 0.500, 0.752)
Cd (0.500, 0.000, 0.248)
Cd (0.500, 0.000, 0.752)
Cd (0.500, 0.500, 0.000)
Cd (0.500, 0.500, 0.500)
Hg (0.000, 0.000, 0.500)

## B
VASP calculation (GGA-PBE) on an optimized crystal structure of NaCd6Hg.

ρ	8.13	g/cm³

Lattice parameters (Å, degrees): 5.286 6.343 6.343 59.61 90.00 90.00
Element x y z (fractional)
Na (0.000, 0.000, 0.000)
Cd (0.000, 0.003, 0.497)
Cd (0.000, 0.497, 0.003)
Cd (0.500, 0.169, 0.169)
Cd (0.500, 0.169, 0.667)
Cd (0.500, 0.667, 0.169)
Cd (0.500, 0.669, 0.669)
Hg (0.000, 0.497, 0.497)

Tell me which of them is the most stable. Sure, it is B.